{"formula": "Ac2SnTePd6", "functional": "GGA-PBE", "state": "optimized geometry", "density_g_cm3": 9.57, "crystal_system": "monoclinic", "formation_energy_uncorrected_ev_per_atom": -0.72, "lattice_angstrom": [[-0.494, -4.374, 5.398], [0.534, -6.090, -3.582], [4.763, -7.453, 1.782]], "species": ["Ac", "Ac", "Sn", "Te", "Pd", "Pd", "Pd", "Pd", "Pd", "Pd"], "frac_coords": [[0.748, 0.252, 0.527], [0.252, 0.748, 0.473], [0.500, 0.500, 0.000], [0.000, 0.000, 0.000], [0.238, 0.257, 0.496], [0.742, 0.761, 0.993], [0.251, 0.749, 0.831], [0.749, 0.251, 0.169], [0.258, 0.239, 0.007], [0.762, 0.743, 0.504]]}



{"formula": "AcThSnPd", "functional": "GGA-PBE", "state": "optimized geometry", "density_g_cm3": 9.85, "crystal_system": "cubic", "ef_mev_per_atom": -471, "lattice_angstrom": [[5.464, 0.000, 0.000], [2.732, 4.732, 0.000], [2.732, 1.577, 4.461]], "species": ["Ac", "Pd", "Sn", "Th"], "frac_coords": [[0.500, 0.500, 0.500], [0.750, 0.750, 0.750], [0.250, 0.250, 0.250], [0.000, 0.000, 0.000]]}



{"formula": "Ac2ThSn3Pd6", "functional": "GGA-PBE", "state": "optimized geometry", "density_g_cm3": 8.77, "crystal_system": "tetragonal", "ef_mev_per_atom": -585, "lattice_angstrom": [[4.235, 0.000, 0.000], [0.000, 4.235, 0.000], [0.000, 0.000, 17.736]], "species": ["Ac", "Ac", "Th", "Sn", "Sn", "Sn", "Pd", "Pd", "Pd", "Pd", "Pd", "Pd"], "frac_coords": [[0.500, 0.500, 0.180], [0.500, 0.500, 0.820], [0.500, 0.500, 0.500], [0.000, 0.000, 0.295], [0.000, 0.000, 0.705], [0.000, 0.000, 0.000], [0.000, 0.500, 0.612], [0.500, 0.000, 0.388], [0.500, 0.000, 0.612], [0.000, 0.000, 0.144], [0.000, 0.500, 0.388], [0.000, 0.000, 0.856]]}



{"formula": "Ac2ThSn3Pd4", "functional": "GGA-PBE", "state": "optimized geometry", "density_g_cm3": 9.63, "crystal_system": "tetragonal", "ef_mev_per_atom": -811, "lattice_angstrom": [[4.758, 0.000, 0.000], [0.000, 4.758, 0.000], [0.000, 0.000, 11.179]], "species": ["Ac", "Ac", "Th", "Sn", "Sn", "Sn", "Pd", "Pd", "Pd", "Pd"], "frac_coords": [[0.500, 0.000, 0.223], [0.000, 0.500, 0.777], [0.500, 0.500, 0.500], [0.000, 0.000, 0.500], [0.500, 0.000, 0.881], [0.000, 0.500, 0.119], [0.500, 0.500, 0.000], [0.000, 0.000, 0.000], [0.500, 0.000, 0.644], [0.000, 0.500, 0.356]]}



{"formula": "Ac2TiSn3Pd4", "functional": "GGA-PBE", "state": "optimized geometry", "density_g_cm3": 9.14, "crystal_system": "tetragonal", "ef_mev_per_atom": -746, "lattice_angstrom": [[4.655, 0.000, 0.000], [0.000, 4.655, 0.000], [0.000, 0.000, 10.769]], "species": ["Ac", "Ac", "Ti", "Sn", "Sn", "Sn", "Pd", "Pd", "Pd", "Pd"], "frac_coords": [[0.500, 0.000, 0.245], [0.000, 0.500, 0.755], [0.500, 0.500, 0.500], [0.000, 0.000, 0.500], [0.500, 0.000, 0.873], [0.000, 0.500, 0.127], [0.500, 0.500, 0.000], [0.000, 0.000, 0.000], [0.500, 0.000, 0.626], [0.000, 0.500, 0.374]]}



{"formula": "Ac2TlSnPd6", "functional": "GGA-PBE", "state": "optimized geometry", "density_g_cm3": 9.09, "crystal_system": "cubic", "ef_mev_per_atom": -236, "lattice_angstrom": [[7.151, 0.000, 0.000], [0.000, 7.151, 0.000], [3.576, 3.575, 5.057]], "species": ["Ac", "Ac", "Tl", "Sn", "Pd", "Pd", "Pd", "Pd", "Pd", "Pd"], "frac_coords": [[0.250, 0.750, 0.500], [0.750, 0.250, 0.500], [0.500, 0.500, 0.000], [0.000, 0.000, 0.000], [0.246, 0.754, 0.000], [0.754, 0.754, 0.000], [0.246, 0.246, 0.507], [0.754, 0.246, 0.000], [0.246, 0.246, 0.000], [0.754, 0.754, 0.493]]}